This record from Alexandria via LeMat-Bulk describes a geometry-optimized CoHg2Au structure. The functional is GGA-PBE.

```
data_CoHg2Au
_chemical_formula_sum 'Co2 Hg4 Au2'
_cell_length_a 3.0158
_cell_length_b 5.1384
_cell_length_c 9.6021
_cell_angle_alpha 90.00
_cell_angle_beta 90.00
_cell_angle_gamma 90.00
_symmetry_space_group_name_H-M 'I m m m'
_symmetry_Int_Tables_number 71
_symmetry_space_group_name_Hall '-I 2 2'
loop_
_atom_site_label
_atom_site_fract_x
_atom_site_fract_y
_atom_site_fract_z
Co1 0.0000 0.0000 0.0000
Hg1 0.0000 0.5000 0.2698
Au1 0.0000 0.0000 0.5000
```

Calculated values
V: 148.8 Å³ per cell
DFT formation energy: 0.39 eV per atom
distance to the lowest polymorph of the same formula: 0.120 eV per atom
electronic total energy: -2.36 eV/atom